Record 1
ThB2Pt2C: relaxed, PBE-GGA.

Computed properties:
SG ... No. 139

Cell lengths 3.8518, 3.8518, 6.0839 Å; angles 108.46, 108.46, 89.97 degrees
Fractional positions:
C (0.5000, 0.5000, 0.0000)
B (0.3630, 0.3630, 0.7261)
B (0.6370, 0.6370, 0.2739)
Pt (0.7499, 0.2501, 0.5000)
Pt (0.2501, 0.7499, 0.5000)
Th (0.0000, 0.0000, 0.0000)

---

Record 2
YB2PtC: relaxed, PBE-GGA.

Computed properties:
SG ... No. 123

Cell lengths 4.7491, 5.2308, 4.7491 Å; angles 90.00, 90.00, 90.00 degrees
Each line ends with the local moment (μB).
Fractional positions:
Pt (0.0000, 0.5000, 0.0000)  -0.04
B (0.5000, 0.0000, 0.0000)  -0.04
B (0.0000, 0.0000, 0.5000)  -0.03
Y (0.0000, 0.0000, 0.0000)  -0.05
C (0.5000, 0.5000, 0.5000)  0.64

---

no.,total DFT energy (no corrections) (eV/atom)
1,-7.6594
2,-3.8649